{
  "formula": "Sm3RuSe",
  "functional": "PBE",
  "state": "optimized geometry",
  "final_energy_ev_per_cell": -61.30,
  "dos_at_fermi_per_ev_atom": 0.784,
  "formation_energy_uncorrected_ev_per_atom": -0.746,
  "lattice_angstrom": [[6.632, -2.121, 0.000], [6.632, 2.121, 0.000], [-2.773, 0.000, 9.761]],
  "species": ["Sm", "Sm", "Sm", "Sm", "Sm", "Sm", "Ru", "Ru", "Se", "Se"],
  "fractional_positions": [[0.091, 0.091, 0.367], [0.333, 0.333, 0.907], [0.355, 0.355, 0.330], [0.645, 0.645, 0.670], [0.667, 0.667, 0.093], [0.909, 0.909, 0.633], [0.275, 0.275, 0.610], [0.725, 0.725, 0.390], [0.105, 0.105, 0.884], [0.895, 0.895, 0.116]]
}

{
  "formula": "HfNpSnO6",
  "functional": "PBE",
  "state": "optimized geometry",
  "final_energy_ev_per_cell": -160.26,
  "formation_energy_uncorrected_ev_per_atom": -2.609,
  "lattice_angstrom": [[5.633, 0.000, 0.000], [-2.817, 4.878, 0.000], [0.000, 0.000, 10.189]],
  "species": ["Hf", "Hf", "Np", "Np", "Sn", "Sn", "O", "O", "O", "O", "O", "O", "O", "O", "O", "O", "O", "O"],
  "fractional_positions": [[0.333, 0.667, 0.250], [0.667, 0.333, 0.750], [0.333, 0.667, 0.750], [0.667, 0.333, 0.250], [0.000, 0.000, 0.000], [0.000, 0.000, 0.500], [0.002, 0.369, 0.643], [0.002, 0.633, 0.857], [0.367, 0.369, 0.857], [0.367, 0.998, 0.643], [0.369, 0.002, 0.143], [0.369, 0.367, 0.357], [0.631, 0.633, 0.643], [0.631, 0.998, 0.857], [0.633, 0.002, 0.357], [0.633, 0.631, 0.143], [0.998, 0.367, 0.143], [0.998, 0.631, 0.357]]
}

{
  "formula": "Mg3In4Rh",
  "functional": "PBE",
  "state": "optimized geometry",
  "final_energy_ev_per_cell": -48.39,
  "dos_at_fermi_per_ev_atom": 0.382,
  "formation_enthalpy_0k_mev_per_atom": -138,
  "lattice_angstrom": [[18.020, 0.000, 0.000], [0.000, 4.374, 0.000], [-1.032, 0.000, 4.251]],
  "species": ["Mg", "Mg", "Mg", "Mg", "Mg", "Mg", "In", "In", "In", "In", "In", "In", "In", "In", "Rh", "Rh"],
  "fractional_positions": [[0.000, 0.000, 0.000], [0.246, 0.000, 0.246], [0.254, 0.500, 0.754], [0.500, 0.500, 0.000], [0.746, 0.500, 0.246], [0.754, 0.000, 0.754], [0.116, 0.500, 0.114], [0.117, 0.000, 0.615], [0.383, 0.500, 0.385], [0.384, 0.000, 0.886], [0.616, 0.000, 0.114], [0.617, 0.500, 0.615], [0.883, 0.000, 0.385], [0.884, 0.500, 0.886], [0.000, 0.500, 0.500], [0.500, 0.000, 0.500]]
}

{
  "formula": "La3ErO6",
  "functional": "PBE",
  "state": "optimized geometry",
  "final_energy_ev_per_cell": -168.18,
  "dos_at_fermi_per_ev_atom": 0.000,
  "formation_energy_uncorrected_ev_per_atom": -3.499,
  "lattice_angstrom": [[5.071, 2.928, 3.934], [-5.071, 2.928, 3.934], [0.000, -5.856, 3.934]],
  "species": ["La", "La", "La", "La", "La", "La", "Er", "Er", "O", "O", "O", "O", "O", "O", "O", "O", "O", "O", "O", "O"],
  "fractional_positions": [[0.057, 0.564, 0.752], [0.248, 0.943, 0.436], [0.436, 0.248, 0.943], [0.564, 0.752, 0.057], [0.752, 0.057, 0.564], [0.943, 0.436, 0.248], [0.000, 0.000, 0.000], [0.500, 0.500, 0.500], [0.036, 0.906, 0.694], [0.094, 0.306, 0.964], [0.194, 0.586, 0.437], [0.306, 0.964, 0.094], [0.414, 0.563, 0.806], [0.437, 0.194, 0.586], [0.563, 0.806, 0.414], [0.586, 0.437, 0.194], [0.694, 0.036, 0.906], [0.806, 0.414, 0.563], [0.906, 0.694, 0.036], [0.964, 0.094, 0.306]]
}

{
  "formula": "MgCr3W",
  "functional": "PBE",
  "state": "optimized geometry",
  "de_polymorph_mev_per_atom": 793,
  "final_energy_ev_per_cell": -32.86,
  "dos_at_fermi_per_ev_atom": 1.038,
  "formation_enthalpy_0k_mev_per_atom": 2112,
  "lattice_angstrom": [[4.365, 0.000, 0.000], [0.000, 4.365, 0.000], [0.000, 0.000, 4.365]],
  "species": ["Mg", "Cr", "Cr", "Cr", "W"],
  "fractional_positions": [[0.000, 0.000, 0.000], [0.000, 0.000, 0.500], [0.000, 0.500, 0.000], [0.500, 0.000, 0.000], [0.500, 0.500, 0.500]]
}

{
  "formula": "U3Ge2H",
  "functional": "PBE",
  "state": "optimized geometry",
  "final_energy_ev_per_cell": -95.72,
  "dos_at_fermi_per_ev_atom": 1.859,
  "lattice_angstrom": [[10.205, 0.000, 0.000], [0.000, 4.055, 0.000], [-3.480, 0.000, 5.224]],
  "species": ["U", "U", "U", "U", "U", "U", "Ge", "Ge", "Ge", "Ge", "H", "H"],
  "fractional_positions": [[0.000, 0.000, 0.000], [0.092, 0.500, 0.492], [0.401, 0.500, 0.293], [0.500, 0.500, 0.000], [0.592, 0.000, 0.492], [0.901, 0.000, 0.293], [0.249, 0.000, 0.902], [0.329, 0.000, 0.558], [0.749, 0.500, 0.902], [0.829, 0.500, 0.558], [0.123, 0.500, 0.160], [0.623, 0.000, 0.160]]
}

So what do the calculations give for total magnetic moment? Going down the list: 0.000; 1.999; 0.000; 0.000; 5.982; 5.467 μB per cell.